Below is a geometry-optimized MnInSn2Te5 structure, with properties calculated at the PBE level.

Formation energy without anion corrections = -3.79 kcal/mol of atoms

a b c (Å): 4.247 18.662 13.856
angles (deg): 90.00 90.00 90.00
Space group Cmc2_1 (No. 36)
Asymmetric unit:
Mn: 0.000 0.020 0.000 (multiplicity 4)
In: 0.000 0.297 0.572 (multiplicity 4)
Sn: 0.000 0.357 0.875 (multiplicity 4)
Sn: 0.000 0.386 0.235 (multiplicity 4)
Te: 0.000 0.031 0.324 (multiplicity 4)
Te: 0.000 0.122 0.567 (multiplicity 4)
Te: 0.000 0.154 0.923 (multiplicity 4)
Te: 0.000 0.226 0.226 (multiplicity 4)
Te: 0.000 0.455 0.608 (multiplicity 4)

---

Below is a geometry-optimized MnTlInSn2 structure, with properties calculated at the PBE level.

Raw total energy = -4.32 eV/atom

a b c (Å): 5.048 5.048 5.165
angles (deg): 90.00 90.00 90.00
Space group P4/mmm (No. 123)
Asymmetric unit:
Mn: 0.000 0.000 0.000 (multiplicity 1)
Tl: 0.500 0.500 0.500 (multiplicity 1)
In: 0.000 0.000 0.500 (multiplicity 1)
Sn: 0.000 0.500 0.000 (multiplicity 2)

---

Below is a geometry-optimized MnTlIn2Sn structure, with properties calculated at the PBE level.

Raw total energy = -4.03 eV/atom

a b c (Å): 5.129 5.129 4.975
angles (deg): 90.00 90.00 90.00
Space group P4/mmm (No. 123)
Asymmetric unit:
Mn: 0.000 0.000 0.000 (multiplicity 1)
Tl: 0.500 0.500 0.500 (multiplicity 1)
In: 0.000 0.500 0.000 (multiplicity 2)
Sn: 0.000 0.000 0.500 (multiplicity 1)

---

Below is a geometry-optimized TmMn6InSn5 structure, with properties calculated at the PBE level.

Raw total energy = -6.43 eV/atom

a b c (Å): 5.4364 5.4364 9.0487
angles (deg): 90.00 90.00 120.00
Space group P-6m2 (No. 187)
Asymmetric unit:
Tm: 0.0000 0.0000 0.0000 (multiplicity 1)
Mn: 0.0013 0.5007 0.2456 (multiplicity 6)
In: 0.6667 0.3333 0.5000 (multiplicity 1)
Sn: 0.0000 0.0000 0.3324 (multiplicity 2)
Sn: 0.3333 0.6667 0.0000 (multiplicity 1)
Sn: 0.3333 0.6667 0.5000 (multiplicity 1)
Sn: 0.6667 0.3333 0.0000 (multiplicity 1)

---

Below is a geometry-optimized SrMn2In structure, with properties calculated at the PBE level.

Raw total energy = -5.23 eV/atom

a b c (Å): 4.142 4.296 11.661
angles (deg): 90.00 90.00 90.00
Space group Imm2 (No. 44)
Asymmetric unit:
Sr: 0.000 0.000 0.000 (multiplicity 2)
Mn: 0.000 0.000 0.386 (multiplicity 2)
Mn: 0.000 0.500 0.741 (multiplicity 2)
In: 0.000 0.500 0.240 (multiplicity 2)

---

Below is a geometry-optimized SrMn4In structure, with properties calculated at the PBE level.

Raw total energy = -6.39 eV/atom

a b c (Å): 7.723 7.723 7.723
angles (deg): 90.00 90.00 90.00
Space group F-43m (No. 216)
Asymmetric unit:
Sr: 0.000 0.000 0.000 (multiplicity 4)
Mn: 0.124 0.124 0.376 (multiplicity 16)
In: 0.250 0.250 0.750 (multiplicity 4)

---

Below is a geometry-optimized SrMnIn2 structure, with properties calculated at the PBE level.

Raw total energy = -4.13 eV/atom

a b c (Å): 4.7150 4.7150 17.7271
angles (deg): 90.00 90.00 120.00
Space group R-3m (No. 166, hexagonal axes)
Asymmetric unit:
Sr: 0.0000 0.0000 0.0000 (multiplicity 3)
Mn: 0.0000 0.0000 0.5000 (multiplicity 3)
In: 0.0000 0.0000 0.2124 (multiplicity 6)

---

Below is a geometry-optimized Sr2MnIn structure, with properties calculated at the PBE level.

Raw total energy = -3.72 eV/atom

a b c (Å): 12.814 3.999 5.622
angles (deg): 90.00 115.96 90.00
Space group Cm (No. 8)
Asymmetric unit:
Sr: 0.000 0.000 0.000 (multiplicity 2)
Sr: 0.207 0.000 0.706 (multiplicity 2)
Mn: 0.270 0.500 0.269 (multiplicity 2)
In: 0.440 0.000 0.440 (multiplicity 2)